VASP calculation (PBE) on a relaxed KAlCo crystal. Values from VASP.

Quantum ESPRESSO input file:
```
&SYSTEM
  ibrav = 0, nat = 3, ntyp = 3
/
ATOMIC_SPECIES
K 39.10 K.upf
Al 26.98 Al.upf
Co 58.93 Co.upf
CELL_PARAMETERS angstrom
5.0367 0.0000 0.0000
-2.5183 4.3619 0.0000
0.0000 0.0000 2.8387
ATOMIC_POSITIONS crystal
K 0.0000 0.0000 0.0000
Al 0.6667 0.3333 0.4998
Co 0.3333 0.6667 0.5060
```

Energy relative to the lowest polymorph listed for this composition: 0.559 eV per atom
N(E_F): 3.25 states/eV per cell
Calculated total energy: -3.134 eV/atom
Formation energy: 0.848 eV per atom
Total magnetization: 1.5 μB/f.u.
SG: P3m1, No. 156

VASP calculation (PBE) on a relaxed K2AlCo crystal. Values from VASP.

Quantum ESPRESSO input file:
```
&SYSTEM
  ibrav = 0, nat = 4, ntyp = 3
/
ATOMIC_SPECIES
K 39.10 K.upf
Al 26.98 Al.upf
Co 58.93 Co.upf
CELL_PARAMETERS angstrom
3.1816 0.0000 0.0000
0.0000 5.5629 0.0000
0.0000 0.0000 6.0364
ATOMIC_POSITIONS crystal
K 0.0000 0.0000 0.2438
K 0.0000 0.0000 0.7562
Al 0.5000 0.5000 0.5000
Co 0.5000 0.5000 0.0000
```

N(E_F): 3.56 states/eV per cell
Calculated total energy: -2.352 eV/atom
Formation energy: 0.909 eV per atom
Total magnetization: 1.7 μB/f.u.
SG: Pmmm, No. 47

What did the second record say?
VASP calculation (PBE) on a relaxed K2AlCo crystal. Values from VASP.

Quantum ESPRESSO input file:
```
&SYSTEM
  ibrav = 0, nat = 4, ntyp = 3
/
ATOMIC_SPECIES
K 39.10 K.upf
Al 26.98 Al.upf
Co 58.93 Co.upf
CELL_PARAMETERS angstrom
3.1816 0.0000 0.0000
0.0000 5.5629 0.0000
0.0000 0.0000 6.0364
ATOMIC_POSITIONS crystal
K 0.0000 0.0000 0.2438
K 0.0000 0.0000 0.7562
Al 0.5000 0.5000 0.5000
Co 0.5000 0.5000 0.0000
```

N(E_F): 3.56 states/eV per cell
Calculated total energy: -2.352 eV/atom
Formation energy: 0.909 eV per atom
Total magnetization: 1.7 μB/f.u.
SG: Pmmm, No. 47